32
Lattice="13.611 0.000 0.000 0.000 4.153 0.000 0.000 0.000 10.334" Properties=species:S:1:pos:R:3 comment="ErZnSi2, relaxed, DFT GGA-PBE" polymorph_energy_mev_per_atom=0 raw_formation_energy_ev_per_atom=-0.36 pbc="T T T"
Er 0.736 1.038 2.455
Er 2.502 3.115 9.747
Er 4.304 1.038 4.580
Er 6.070 3.115 7.622
Er 7.541 1.038 2.712
Er 9.308 3.115 5.754
Er 11.109 1.038 0.587
Er 12.876 3.115 7.879
Zn 0.749 1.038 5.570
Zn 3.233 3.115 6.529
Zn 3.573 1.038 1.362
Zn 6.057 3.115 0.403
Zn 7.555 1.038 9.931
Zn 10.039 3.115 8.972
Zn 10.378 1.038 3.805
Zn 12.862 3.115 4.764
Si 0.294 1.038 9.863
Si 1.479 1.038 7.870
Si 1.820 3.115 4.542
Si 2.913 3.115 2.452
Si 3.893 1.038 7.619
Si 4.986 1.038 9.709
Si 5.326 3.115 2.703
Si 6.512 3.115 4.696
Si 7.099 1.038 5.637
Si 8.285 1.038 7.630
Si 8.626 3.115 0.624
Si 9.718 3.115 2.715
Si 10.699 1.038 7.881
Si 11.791 1.038 5.791
Si 12.132 3.115 2.464
Si 13.318 3.115 0.471

12
Lattice="0.000 4.328 7.499 3.553 0.000 7.499 3.553 4.328 0.000" Properties=species:S:1:pos:R:3 comment="Er2Zn3Si, relaxed, DFT GGA-PBE" polymorph_energy_mev_per_atom=0 raw_formation_energy_ev_per_atom=-0.50 pbc="T T T"
Er 5.355 4.328 7.499
Er 1.777 2.164 3.750
Er 5.330 6.491 11.249
Er 1.751 4.328 7.499
Zn 3.553 4.328 2.510
Zn 3.553 2.186 6.252
Zn 3.553 2.186 8.747
Zn 3.553 6.469 6.252
Zn 3.553 6.469 8.747
Zn 3.553 4.328 12.488
Si 3.553 4.328 5.003
Si 3.553 4.328 9.995

16
Lattice="2.026 -5.352 0.000 2.026 5.352 0.000 0.000 0.000 15.082" Properties=species:S:1:pos:R:3 comment="Er3Zn3Si2, relaxed, DFT GGA-PBE" raw_formation_energy_ev_per_atom=-0.52 pbc="T T T"
Er 2.026 4.440 11.312
Er 2.026 1.446 8.949
Er 2.026 1.446 13.674
Er 2.026 -1.446 1.408
Er 2.026 -1.446 6.133
Er 2.026 -4.440 3.771
Zn 2.026 4.505 8.375
Zn 2.026 4.505 14.249
Zn 2.026 3.317 3.771
Zn 2.026 -3.317 11.312
Zn 2.026 -4.505 0.833
Zn 2.026 -4.505 6.708
Si 2.026 1.739 1.763
Si 2.026 1.739 5.779
Si 2.026 -1.739 9.304
Si 2.026 -1.739 13.320

4
Lattice="0.000 3.989 3.989 3.989 0.000 3.989 3.989 3.989 0.000" Properties=species:S:1:pos:R:3 comment="SmEr3, relaxed, DFT GGA-PBE" formation_energy_ev_per_fu=0.54 polymorph_energy_mev_per_atom=128 pbc="T T T"
Sm 0.000 0.000 0.000
Er 1.994 1.994 1.994
Er 3.989 3.989 3.989
Er 5.983 5.983 5.983

no.,V (Å³ per atom),total magnetization (Bohr magnetons per cell)
1,18.3,0.0
2,19.2,0.0
3,20.4,0.0
4,31.7,0.0